No. 1
A geometry-optimized KCoAgF6 structure, computed with GGA+U.

DFT total energy = -4.090 eV/atom
size of the total moment = 1.04 μB/f.u.

abc: 5.4966 5.5744 5.5965
angles: 60.30 89.85 89.58
Space group P1 (No. 1)
One atom of each set of equivalent atoms:
K1 0.0000 0.0000 0.0000
Co1 0.4999 0.6682 0.6630
Ag1 0.4998 0.3274 0.3444
F1 0.2825 0.9320 0.6512
F2 0.3187 0.6452 0.3856
F3 0.3199 0.3897 0.9351
F4 0.6794 0.9677 0.3854
F5 0.6821 0.6759 0.9335
F6 0.7169 0.4158 0.6494


No. 2
A geometry-optimized KCo2AgF structure, computed with GGA+U.

DFT total energy = -2.928 eV/atom
size of the total moment = 4.47 μB/f.u.

abc: 4.9226 4.9226 5.3649
angles: 90.00 90.00 90.00
Space group P4/mmm (No. 123)
One atom of each set of equivalent atoms:
K1 0.0000 0.0000 0.0000
Co1 0.0000 0.5000 0.5000
Ag1 0.5000 0.5000 0.5000
F1 0.5000 0.5000 0.0000


No. 3
A geometry-optimized KCo2AgF8 structure, computed with GGA+U.

DFT total energy = -4.260 eV/atom
size of the total moment = 8.00 μB/f.u.

abc: 6.0818 6.0818 7.2815
angles: 90.00 90.00 120.00
Space group P-3m1 (No. 164)
One atom of each set of equivalent atoms:
K1 0.0000 0.0000 0.0000
Co1 0.3333 0.6667 0.6485
Ag1 0.0000 0.0000 0.5000
F1 0.1669 0.3339 0.7258
F2 0.3333 0.6667 0.4007


No. 4
A geometry-optimized K2CoAg2F6 structure, computed with GGA+U.

DFT total energy = -4.137 eV/atom
size of the total moment = 3.00 μB/f.u.

abc: 6.3587 11.2632 6.1387
angles: 90.00 97.28 90.00
Space group C2/m (No. 12)
One atom of each set of equivalent atoms:
K1 0.0000 0.1609 0.0000
Co1 0.0000 0.5000 0.0000
Ag1 0.0000 0.3711 0.5000
F1 0.1480 0.3620 0.1978
F2 0.2353 0.5000 0.8085


No. 5
A geometry-optimized LiCo2AgF8 structure, computed with GGA+U.

DFT total energy = -4.461 eV/atom
size of the total moment = 8.09 μB/f.u.

abc: 4.9202 6.2973 4.9544
angles: 90.00 94.59 90.00
Space group P2/m (No. 10)
One atom of each set of equivalent atoms:
Li1 0.0000 0.0000 0.0000
Co1 0.5000 0.2428 0.5000
Ag1 0.0000 0.5000 0.0000
F1 0.2252 0.2257 0.2178
F2 0.3148 0.0000 0.6775
F3 0.3270 0.5000 0.6636


No. 6
A geometry-optimized LiCoAgF2 structure, computed with GGA+U.

DFT total energy = -2.994 eV/atom
size of the total moment = 2.71 μB/f.u.

abc: 4.3474 4.3474 5.0707
angles: 90.00 90.00 90.00
Space group P4/mmm (No. 123)
One atom of each set of equivalent atoms:
Li1 0.0000 0.0000 0.0000
Co1 0.5000 0.5000 0.0000
Ag1 0.0000 0.0000 0.5000
F1 0.0000 0.5000 0.5000


No. 7
A geometry-optimized MgCoAgF6 structure, computed with GGA+U.

DFT total energy = -4.526 eV/atom
size of the total moment = 0.07 μB/f.u.

abc: 5.1732 5.1732 10.4855
angles: 90.00 90.00 120.00
Space group P-31c (No. 163)
One atom of each set of equivalent atoms:
Mg1 0.3333 0.6667 0.2500
Co1 0.3333 0.6667 0.7500
Ag1 0.0000 0.0000 0.0000
F1 0.0206 0.3773 0.6502


No. 8
A geometry-optimized MgCoAg2F6 structure, computed with GGA+U.

DFT total energy = -4.452 eV/atom
size of the total moment = 3.19 μB/f.u.

abc: 5.6789 5.6827 9.7664
angles: 90.00 125.47 90.00
Space group P2_1/c (No. 14)
One atom of each set of equivalent atoms:
Mg1 0.0000 0.0000 0.0000
Co1 0.5000 0.0000 0.5000
Ag1 0.2459 0.0100 0.7504
F1 0.1956 0.2418 0.4587
F2 0.2179 0.7391 0.4605
F3 0.3259 0.0057 0.2486


No. 9
A geometry-optimized MgCo2AgF8 structure, computed with GGA+U.

DFT total energy = -4.676 eV/atom
size of the total moment = 7.05 μB/f.u.

abc: 4.8089 4.8333 6.5545
angles: 90.22 90.18 90.41
Space group P-1 (No. 2)
One atom of each set of equivalent atoms:
Mg1 0.0000 0.0000 0.0000
Co1 0.4996 0.4993 0.7592
Ag1 0.0000 0.0000 0.5000
F1 0.2075 0.2043 0.2224
F2 0.2099 0.2066 0.7860
F3 0.2993 0.6975 0.9998
F4 0.3189 0.6772 0.4996


No. 10
A geometry-optimized MnCoAg2F6 structure, computed with GGA+U.

DFT total energy = -4.779 eV/atom
size of the total moment = 7.98 μB/f.u.

abc: 5.7575 5.7576 5.7872
angles: 90.77 119.51 119.41
Space group P-1 (No. 2)
One atom of each set of equivalent atoms:
Mn1 0.0000 0.0000 0.0000
Co1 0.0000 0.5000 0.5000
Ag1 0.4887 0.7405 0.2499
F1 0.0211 0.3202 0.8103
F2 0.1057 0.8480 0.7470
F3 0.4909 0.7002 0.6805


No. 11
A geometry-optimized MnCoAgF6 structure, computed with GGA+U.

DFT total energy = -4.947 eV/atom
size of the total moment = 6.98 μB/f.u.

abc: 4.9793 4.9793 9.9140
angles: 90.00 90.00 90.00
Space group P4_2nm (No. 102)
One atom of each set of equivalent atoms:
Mn1 0.0000 0.0000 0.0000
Co1 0.0000 0.0000 0.3365
Ag1 0.0000 0.0000 0.6698
F1 0.1781 0.1781 0.1711
F2 0.2175 0.2175 0.8625
F3 0.2252 0.2252 0.4868


No. 12
A geometry-optimized CoAgNF2 structure, computed with GGA+U.

E above lowest polymorph = 801 meV per atom
size of the total moment = 2.26 μB/f.u.

abc: 4.3167 4.3167 3.9920
angles: 90.00 90.00 90.00
Space group P4/mmm (No. 123)
One atom of each set of equivalent atoms:
Co1 0.0000 0.0000 0.0000
Ag1 0.5000 0.5000 0.5000
N1 0.5000 0.5000 0.0000
F1 0.0000 0.5000 0.5000


No. 13
A geometry-optimized CoAgNF2 structure, computed with GGA+U.

E above lowest polymorph = 0 meV per atom
size of the total moment = 1.42 μB/f.u.

abc: 4.1697 4.1697 3.4819
angles: 90.00 90.00 90.00
Space group P4/mmm (No. 123)
One atom of each set of equivalent atoms:
Co1 0.0000 0.0000 0.0000
Ag1 0.5000 0.5000 0.5000
N1 0.0000 0.0000 0.5000
F1 0.0000 0.5000 0.0000


No. 14
A geometry-optimized Na2CoAgF8 structure, computed with GGA+U.

DFT total energy = -4.039 eV/atom
size of the total moment = 2.01 μB/f.u.

abc: 4.9601 6.8744 4.9694
angles: 90.00 92.41 90.00
Space group P2/m (No. 10)
One atom of each set of equivalent atoms:
Na1 0.0000 0.2435 0.0000
Co1 0.5000 0.0000 0.5000
Ag1 0.5000 0.5000 0.5000
F1 0.2057 0.5000 0.2017
F2 0.2399 0.0000 0.2378
F3 0.3257 0.1946 0.6720


No. 15
A geometry-optimized NaCoAg2F6 structure, computed with GGA+U.

DFT total energy = -4.050 eV/atom
size of the total moment = 0.00 μB/f.u.

abc: 5.7222 5.7326 9.9454
angles: 90.00 125.10 90.00
Space group P2_1/c (No. 14)
One atom of each set of equivalent atoms:
Na1 0.0000 0.0000 0.0000
Co1 0.5000 0.0000 0.5000
Ag1 0.2515 0.0327 0.7489
F1 0.2048 0.0290 0.2763
F2 0.2553 0.6660 0.0336
F3 0.3792 0.2202 0.0401


No. 16
A geometry-optimized Na2CoAgF6 structure, computed with GGA+U.

E above lowest polymorph = 140 meV per atom
size of the total moment = 3.30 μB/f.u.

abc: 8.4605 8.4605 8.4605
angles: 90.00 90.00 90.00
Space group Fm-3m (No. 225)
One atom of each set of equivalent atoms:
Na1 0.2500 0.2500 0.2500
Co1 0.0000 0.0000 0.0000
Ag1 0.0000 0.0000 0.5000
F1 0.0000 0.0000 0.2294


No. 17
A geometry-optimized Na3CoAg3F8 structure, computed with GGA+U.

DFT total energy = -4.078 eV/atom
size of the total moment = 3.28 μB/f.u.

abc: 11.7828 6.8871 6.8319
angles: 90.00 124.82 90.00
Space group C2/m (No. 12)
One atom of each set of equivalent atoms:
Na1 0.0000 0.0000 0.0000
Na2 0.2500 0.2500 0.5000
Co1 0.0000 0.0000 0.5000
Ag1 0.0000 0.5000 0.5000
Ag2 0.2500 0.2500 0.0000
F1 0.0069 0.2045 0.2885
F2 0.2108 0.0000 0.6979
F3 0.2392 0.0000 0.2642


No. 18
A geometry-optimized Na2CoAgF6 structure, computed with GGA+U.

E above lowest polymorph = 0 meV per atom
size of the total moment = 0.11 μB/f.u.

abc: 5.6646 5.6646 14.7434
angles: 90.00 90.00 120.00
Space group R3 (No. 146, hexagonal axes)
One atom of each set of equivalent atoms:
Na1 0.0000 0.0000 0.0000
Na2 0.0000 0.0000 0.4883
Co1 0.0000 0.0000 0.7895
Ag1 0.0000 0.0000 0.2783
F1 0.0136 0.7423 0.8667
F2 0.0699 0.3736 0.3860


No. 19
A geometry-optimized CoNiAg2F6 structure, computed with GGA+U.

DFT total energy = -4.034 eV/atom
size of the total moment = 0.79 μB/f.u.

abc: 5.6090 5.6291 5.6388
angles: 119.62 119.65 90.30
Space group P-1 (No. 2)
One atom of each set of equivalent atoms:
Co1 0.0000 0.0000 0.0000
Ni1 0.5000 0.5000 0.0000
Ag1 0.2537 0.7562 0.5046
F1 0.1705 0.6666 0.9290
F2 0.2915 0.2137 0.5018
F3 0.2931 0.1962 0.9969


No. 20
A geometry-optimized CoNiAgF6 structure, computed with GGA+U.

DFT total energy = -4.215 eV/atom
size of the total moment = 6.06 μB/f.u.

abc: 5.3082 5.3082 9.7146
angles: 90.00 90.00 120.00
Space group P-31c (No. 163)
One atom of each set of equivalent atoms:
Co1 0.3333 0.6667 0.2500
Ni1 0.3333 0.6667 0.7500
Ag1 0.0000 0.0000 0.0000
F1 0.0048 0.3659 0.1385